The following is a PBE calculation of crystalline Tb2ZnCu5Ni2 at its relaxed geometry, from Alexandria.

As for the formation energy: -0.192 eV/atom. The magnetization is 0.00 Bohr magnetons per cell.

It has space group P4/mbm (No. 127), with a = 9.024 Å, b = 9.024 Å, c = 3.802 Å, α = 90.00°, β = 90.00° and γ = 90.00°. The asymmetric unit holds Tb at (0.181, 0.319, 0.000), Zn at (0.000, 0.000, 0.000), Cu at (0.000, 0.500, 0.500), Cu at (0.058, 0.795, 0.500) and Ni at (0.115, 0.615, 0.000).

=====

The following is a PBE calculation of crystalline BeTlIr2 at its relaxed geometry, from Alexandria.

As for the formation energy: 0.507 eV/atom. For the distance to the lowest polymorph of the same formula, the calculation gives 371.0 meV/atom. The magnetization is 0.00 Bohr magnetons per cell.

It has space group I-42d (No. 122), with a = 4.438 Å, b = 4.438 Å, c = 15.623 Å, α = 90.00°, β = 90.00° and γ = 90.00°. The asymmetric unit holds Be at (0.000, 0.000, 0.000), Tl at (0.000, 0.000, 0.500) and Ir at (0.119, 0.250, 0.125).

=====

Repeat the first record exactly.
The following is a PBE calculation of crystalline Tb2ZnCu5Ni2 at its relaxed geometry, from Alexandria.

As for the formation energy: -0.192 eV/atom. The magnetization is 0.00 Bohr magnetons per cell.

It has space group P4/mbm (No. 127), with a = 9.024 Å, b = 9.024 Å, c = 3.802 Å, α = 90.00°, β = 90.00° and γ = 90.00°. The asymmetric unit holds Tb at (0.181, 0.319, 0.000), Zn at (0.000, 0.000, 0.000), Cu at (0.000, 0.500, 0.500), Cu at (0.058, 0.795, 0.500) and Ni at (0.115, 0.615, 0.000).